Record 1
Below is crystalline TbMn2 at its relaxed geometry, with properties calculated at the PBE-GGA level.

```
TbMn2
1.0
5.100 0.000 0.000
-2.550 4.416 0.000
0.000 0.000 8.363
Mn Tb
8 4
Direct
0.832 0.665 0.250
0.000 0.000 0.000
0.168 0.832 0.750
0.335 0.168 0.250
0.000 0.000 0.500
0.665 0.832 0.750
0.168 0.335 0.750
0.832 0.168 0.250
0.333 0.667 0.063
0.667 0.333 0.937
0.333 0.667 0.437
0.667 0.333 0.563
```

Computed properties:
* size of the total moment: 0.0 μB/cell
* formation energy: 169 meV per atom
* space group: P6_3/mmc (194)

Record 2
Below is crystalline PmNdNi at its relaxed geometry, with properties calculated at the PBE-GGA level.

```
PmNdNi
1.0
3.512 0.000 0.000
0.000 3.512 0.000
-1.756 -1.756 6.429
Nd Ni Pm
1 1 1
Direct
0.036 0.036 0.073
0.669 0.669 0.338
0.295 0.295 0.589
```

Computed properties:
* energy above the most stable polymorph in this dataset: 0.25 eV per formula unit
* size of the total moment: 0.0 μB/cell
* formation energy: -134 meV per atom
* space group: I4mm (107)

Record 3
Below is crystalline K2TbNp3O12 at its relaxed geometry, with properties calculated at the PBE-GGA level.

```
K2TbNp3O12
1.0
-0.685 7.631 1.451
-1.867 2.210 7.242
5.506 3.426 4.331
Np O K Tb
3 12 2 1
Direct
0.000 0.500 0.000
0.500 0.000 0.000
0.000 0.000 0.500
0.926 0.926 0.343
0.074 0.074 0.657
0.657 0.074 0.074
0.074 0.657 0.074
0.692 0.692 0.061
0.692 0.061 0.692
0.308 0.939 0.308
0.343 0.926 0.926
0.061 0.692 0.692
0.308 0.308 0.939
0.939 0.308 0.308
0.926 0.343 0.926
0.668 0.668 0.668
0.332 0.332 0.332
0.000 0.000 0.000
```

Computed properties:
* size of the total moment: 2.0 μB/cell
* E_form (uncorrected): -2.72 eV per atom
* space group: R-3m (166)

Record 4
Below is crystalline ZnInTc2 at its relaxed geometry, with properties calculated at the PBE-GGA level.

```
ZnInTc2
1.0
-2.088 0.229 -4.236
-3.750 -1.449 -2.488
-2.954 3.857 0.894
Tc In Zn
2 1 1
Direct
0.006 0.006 0.965
0.747 0.747 0.768
0.252 0.252 0.262
0.495 0.495 0.505
```

Computed properties:
* energy above the most stable polymorph in this dataset: 0.77 eV per formula unit
* size of the total moment: 0.0 μB/cell
* formation energy: 259 meV per atom
* space group: Cm (8)